Record 1
Material: Y2NiRu
Method: DFT, GGA-PBEsol
State: optimized geometry

Structure (POSCAR):
```
Y2NiRu
1.0
-2.0623 -2.3532 -1.1665
2.9611 -0.8094 -3.6021
2.2556 -3.2589 2.5865
Y Ni Ru
2 1 1
direct
0.0000 0.5000 0.0000
0.0000 0.0000 0.5000
0.5000 0.5000 0.5000
0.5000 0.0000 0.0000
```

Results
The final energy is -31.26 eV/cell.

***

Record 2
Material: ZnNiRu2
Method: DFT, GGA-PBEsol
State: optimized geometry

Structure (POSCAR):
```
ZnNiRu2
1.0
-2.3349 2.8060 0.5193
-2.1117 -1.2477 -2.7531
0.3043 -2.8194 3.5134
Ru Ni Zn
2 1 1
direct
0.0000 0.0000 0.0000
0.7500 0.2500 0.5000
0.2500 0.7500 0.5000
0.5000 0.5000 0.0000
```

Results
The final energy is -27.79 eV/cell.

***

Record 3
Material: ZnNiRu2
Method: DFT, GGA-PBEsol
State: optimized geometry

Structure (POSCAR):
```
ZnNiRu2
1.0
2.5944 0.0000 -0.1328
0.0000 4.2305 0.0000
-0.6415 0.0000 4.7241
Ru Zn Ni
2 1 1
direct
0.8152 0.0000 0.7381
0.1848 0.0000 0.2619
0.5000 0.5000 0.0000
0.0000 0.5000 0.5000
```

Results
The final energy is -27.06 eV/cell.

***

Record 4
Material: ZnNi2Ru
Method: DFT, GGA-PBEsol
State: optimized geometry

Structure (POSCAR):
```
ZnNi2Ru
1.0
2.5949 0.0000 0.0000
1.2975 2.2473 0.0000
1.2975 0.7491 8.1804
Zn Ni Ru
1 2 1
direct
0.2537 0.2537 0.2390
0.7480 0.7480 0.7561
0.0019 0.0019 0.9942
0.4964 0.4964 0.5107
```

Results
The final energy is -23.80 eV/cell.